Record 1
# Ge2BiF

Crystalline Ge2BiF at its relaxed geometry (PBE-GGA, Alexandria).

Values from the calculation:
- ΔE to the lowest computed polymorph: 39.7 meV/atom

abc: 6.937 6.937 6.937
angles: 90.00 90.00 90.00
Space group Fm-3m (No. 225)
One atom of each set of equivalent atoms:
Ge (0.250, 0.250, 0.250) x8
Bi (0.000, 0.000, 0.000) x4
F (0.000, 0.000, 0.500) x4

---

Record 2
# GeBiF5

Crystalline GeBiF5 at its relaxed geometry (PBE-GGA, Alexandria).

Values from the calculation:
- ΔE to the lowest computed polymorph: 0.0 meV/atom

abc: 5.611 6.628 7.220
angles: 99.72 111.56 92.87
Space group P1 (No. 1)
One atom of each set of equivalent atoms:
Ge (0.000, 0.000, 0.000) x1
Ge (0.449, 0.503, 0.911) x1
Bi (0.281, 0.761, 0.446) x1
Bi (0.767, 0.246, 0.466) x1
F (0.053, 0.003, 0.524) x1
F (0.071, 0.384, 0.785) x1
F (0.331, 0.072, 0.242) x1
F (0.359, 0.747, 0.795) x1
F (0.402, 0.618, 0.154) x1
F (0.520, 0.481, 0.544) x1
F (0.613, 0.035, 0.629) x1
F (0.818, 0.160, 0.138) x1
F (0.936, 0.773, 0.118) x1
F (0.959, 0.538, 0.419) x1

---

Record 3
# HgGeBiF2

Crystalline HgGeBiF2 at its relaxed geometry (PBE-GGA, Alexandria).

abc: 4.290 4.290 5.791
angles: 90.00 90.00 90.00
Space group P4/mmm (No. 123)
One atom of each set of equivalent atoms:
Hg (0.000, 0.000, 0.000) x1
Ge (0.000, 0.000, 0.500) x1
Bi (0.500, 0.500, 0.000) x1
F (0.000, 0.500, 0.500) x2

---

Record 4
# GeBiIF2

Crystalline GeBiIF2 at its relaxed geometry (PBE-GGA, Alexandria).

abc: 4.538 4.538 6.007
angles: 90.00 90.00 90.00
Space group P4/mmm (No. 123)
One atom of each set of equivalent atoms:
Ge (0.000, 0.000, 0.000) x1
Bi (0.500, 0.500, 0.000) x1
I (0.000, 0.000, 0.500) x1
F (0.000, 0.500, 0.500) x2

---

Record 5
# GeBiNF2

Crystalline GeBiNF2 at its relaxed geometry (PBE-GGA, Alexandria).

Values from the calculation:
- ΔE to the lowest computed polymorph: 0.0 meV/atom

abc: 4.328 4.328 3.939
angles: 90.00 90.00 90.00
Space group P4/mmm (No. 123)
One atom of each set of equivalent atoms:
Ge (0.000, 0.000, 0.000) x1
Bi (0.500, 0.500, 0.500) x1
N (0.000, 0.000, 0.500) x1
F (0.000, 0.500, 0.000) x2

---

Record 6
# GeBiNF2

Crystalline GeBiNF2 at its relaxed geometry (PBE-GGA, Alexandria).

Values from the calculation:
- ΔE to the lowest computed polymorph: 831.6 meV/atom

abc: 4.215 4.215 4.613
angles: 90.00 90.00 90.00
Space group P4/mmm (No. 123)
One atom of each set of equivalent atoms:
Ge (0.000, 0.000, 0.000) x1
Bi (0.500, 0.500, 0.000) x1
N (0.500, 0.500, 0.500) x1
F (0.000, 0.500, 0.500) x2

---

Record 7
# GeBiNF2

Crystalline GeBiNF2 at its relaxed geometry (PBE-GGA, Alexandria).

Values from the calculation:
- ΔE to the lowest computed polymorph: 252.0 meV/atom

abc: 4.510 4.510 4.597
angles: 90.00 90.00 90.00
Space group P4/mmm (No. 123)
One atom of each set of equivalent atoms:
Ge (0.000, 0.000, 0.000) x1
Bi (0.500, 0.500, 0.500) x1
N (0.500, 0.500, 0.000) x1
F (0.000, 0.500, 0.500) x2

---

Record 8
# GeBiOF2

Crystalline GeBiOF2 at its relaxed geometry (PBE-GGA, Alexandria).

Values from the calculation:
- ΔE to the lowest computed polymorph: 73.4 meV/atom

abc: 4.579 4.579 4.588
angles: 90.00 90.00 90.00
Space group P4/mmm (No. 123)
One atom of each set of equivalent atoms:
Ge (0.000, 0.000, 0.000) x1
Bi (0.500, 0.500, 0.500) x1
O (0.500, 0.500, 0.000) x1
F (0.000, 0.500, 0.500) x2

---

Record 9
# GeBiOF2

Crystalline GeBiOF2 at its relaxed geometry (PBE-GGA, Alexandria).

Values from the calculation:
- ΔE to the lowest computed polymorph: 0.0 meV/atom

abc: 4.486 4.486 3.926
angles: 90.00 90.00 90.00
Space group P4/mmm (No. 123)
One atom of each set of equivalent atoms:
Ge (0.000, 0.000, 0.000) x1
Bi (0.500, 0.500, 0.500) x1
O (0.000, 0.000, 0.500) x1
F (0.000, 0.500, 0.000) x2

---

Record 10
# GeBiO2F

Crystalline GeBiO2F at its relaxed geometry (PBE-GGA, Alexandria).

abc: 4.469 4.469 4.463
angles: 90.00 90.00 90.00
Space group P4/mmm (No. 123)
One atom of each set of equivalent atoms:
Ge (0.000, 0.000, 0.000) x1
Bi (0.500, 0.500, 0.500) x1
O (0.000, 0.500, 0.500) x2
F (0.500, 0.500, 0.000) x1

---

Record 11
# GeBiO2F

Crystalline GeBiO2F at its relaxed geometry (PBE-GGA, Alexandria).

abc: 4.050 4.050 4.221
angles: 90.00 90.00 90.00
Space group P4/mmm (No. 123)
One atom of each set of equivalent atoms:
Ge (0.000, 0.000, 0.000) x1
Bi (0.500, 0.500, 0.500) x1
O (0.000, 0.500, 0.000) x2
F (0.000, 0.000, 0.500) x1

---

Record 12
# Rb2GeBiF6

Crystalline Rb2GeBiF6 at its relaxed geometry (PBE-GGA, Alexandria).

abc: 6.438 6.438 10.299
angles: 90.00 90.00 90.00
Space group I4/mmm (No. 139)
One atom of each set of equivalent atoms:
Rb (0.000, 0.500, 0.250) x4
Ge (0.000, 0.000, 0.000) x2
Bi (0.000, 0.000, 0.500) x2
F (0.000, 0.000, 0.209) x4
F (0.247, 0.247, 0.000) x8

---

Record 13
# GeBiRh2F

Crystalline GeBiRh2F at its relaxed geometry (PBE-GGA, Alexandria).

abc: 4.716 4.716 4.062
angles: 90.00 90.00 90.00
Space group P4/mmm (No. 123)
One atom of each set of equivalent atoms:
Ge (0.000, 0.000, 0.000) x1
Bi (0.500, 0.500, 0.500) x1
Rh (0.000, 0.500, 0.000) x2
F (0.000, 0.000, 0.500) x1

---

Record 14
# TaGe2BiF

Crystalline TaGe2BiF at its relaxed geometry (PBE-GGA, Alexandria).

abc: 5.196 5.196 4.052
angles: 90.00 90.00 90.00
Space group P4/mmm (No. 123)
One atom of each set of equivalent atoms:
Ta (0.000, 0.000, 0.000) x1
Ge (0.000, 0.500, 0.000) x2
Bi (0.500, 0.500, 0.500) x1
F (0.000, 0.000, 0.500) x1

---

| no. | calculated density (Mg/m³) | formation energy (no corrections) (eV per atom) | DOS(E_F) (states/eV/cell) |
| --- | --- | --- | --- |
| 1 | 7.4 | -0.31 | 6.3 |
| 2 | 5.1 | -2.30 | 0.0 |
| 3 | 8.1 | -0.91 | 2.7 |
| 4 | 6.0 | -0.29 | 3.5 |
| 5 | 7.5 | -0.57 | 2.0 |
| 6 | 6.8 | 0.27 | 2.7 |
| 7 | 5.9 | -0.31 | 1.7 |
| 8 | 5.8 | -1.02 | 2.3 |
| 9 | 7.1 | -1.09 | 2.8 |
| 10 | 6.2 | -0.72 | 2.5 |
| 11 | 8.0 | -0.98 | 2.3 |
| 12 | 4.4 | -2.23 | 0.0 |
| 13 | 9.3 | -0.31 | 3.9 |
| 14 | 8.4 | -0.36 | 3.1 |